1.
# ZrSn2GeSe PBE-GGA optimized geometry
data_ZrSn2GeSe
_chemical_formula_sum 'Zr1 Sn2 Ge1 Se1'
_symmetry_space_group_name_H-M 'P 4/m m m'
_symmetry_Int_Tables_number 123
_symmetry_space_group_name_Hall '-P 4 2'
_cell_length_a 5.266
_cell_length_b 5.266
_cell_length_c 5.202
_cell_angle_alpha 90.00
_cell_angle_beta 90.00
_cell_angle_gamma 90.00
loop_
_atom_site_label
_atom_site_fract_x
_atom_site_fract_y
_atom_site_fract_z
_atom_site_occupancy
Zr1 0.000 0.000 0.000 1
Sn1 0.000 0.500 0.500 1
Ge1 0.000 0.000 0.500 1
Se1 0.500 0.500 0.000 1
# Formation energy (no corrections)   0.472 eV per atom
# Total magnetization   0.00 μB/cell



2.
# BaZnP4 PBE-GGA optimized geometry
data_BaZnP4
_chemical_formula_sum 'Ba4 Zn4 P16'
_symmetry_space_group_name_H-M 'F -4 3 m'
_symmetry_Int_Tables_number 216
_symmetry_space_group_name_Hall 'F -4 2 3'
_cell_length_a 8.128
_cell_length_b 8.128
_cell_length_c 8.128
_cell_angle_alpha 90.00
_cell_angle_beta 90.00
_cell_angle_gamma 90.00
loop_
_atom_site_label
_atom_site_fract_x
_atom_site_fract_y
_atom_site_fract_z
_atom_site_occupancy
Ba1 0.000 0.000 0.000 1
Zn1 0.250 0.250 0.250 1
P1 0.101 0.101 0.601 1
# DFT formation energy   -54 meV per atom
# Total magnetization   0.00 μB/cell



3.
# Rb2ThUS4 PBE-GGA optimized geometry
data_Rb2ThUS4
_chemical_formula_sum 'Rb2 Th1 U1 S4'
_symmetry_space_group_name_H-M 'P 1 2/m 1'
_symmetry_Int_Tables_number 10
_cell_length_a 7.128
_cell_length_b 4.115
_cell_length_c 8.154
_cell_angle_alpha 90.00
_cell_angle_beta 106.93
_cell_angle_gamma 90.00
loop_
_symmetry_equiv_pos_as_xyz
'x,y,z'
'-x,-y,-z'
'-x,y,-z'
'x,-y,z'
loop_
_atom_site_label
_atom_site_fract_x
_atom_site_fract_y
_atom_site_fract_z
_atom_site_occupancy
Rb1 0.000 0.000 0.000 1
Rb2 0.500 0.500 0.000 1
Th1 0.000 0.500 0.500 1
U1 0.500 0.000 0.500 1
S1 0.236 0.000 0.700 1
S2 0.270 0.500 0.304 1
# Formation energy (no corrections)   -1.502 eV per atom
# Total magnetization   3.73 μB/cell



4.
# RbNaCd2Ga PBE-GGA optimized geometry
data_RbNaCd2Ga
_chemical_formula_sum 'Rb1 Na1 Cd2 Ga1'
_symmetry_space_group_name_H-M 'P 4/m m m'
_symmetry_Int_Tables_number 123
_symmetry_space_group_name_Hall '-P 4 2'
_cell_length_a 5.458
_cell_length_b 5.458
_cell_length_c 5.800
_cell_angle_alpha 90.00
_cell_angle_beta 90.00
_cell_angle_gamma 90.00
loop_
_atom_site_label
_atom_site_fract_x
_atom_site_fract_y
_atom_site_fract_z
_atom_site_occupancy
Rb1 0.000 0.000 0.000 1
Na1 0.500 0.500 0.000 1
Cd1 0.000 0.500 0.500 1
Ga1 0.500 0.500 0.500 1
# DFT formation energy   -4 meV per atom
# Total magnetization   0.00 μB/cell